{
  "formula": "CuHW",
  "functional": "PBE",
  "state": "optimized geometry",
  "mass_density_g_cm3": 12.95,
  "total_energy_ev_per_cell": -39.2,
  "sg": "No. 1",
  "lattice_angstrom": [[2.753, 0.000, 0.000], [-0.022, 4.240, 0.000], [-0.977, -0.007, 5.459]],
  "species": ["Cu", "Cu", "H", "H", "W", "W"],
  "frac_coords": [[0.000, 0.000, 0.000], [0.095, 0.494, 0.274], [0.105, 0.073, 0.304], [0.550, 0.660, 0.111], [0.425, 0.498, 0.780], [0.674, 0.994, 0.538]]
}

{
  "formula": "KNiRu",
  "functional": "PBE",
  "state": "optimized geometry",
  "mass_density_g_cm3": 6.30,
  "total_energy_ev_per_cell": -13.3,
  "formation_energy_mev_per_atom": 950,
  "sg": "No. 156",
  "lattice_angstrom": [[2.809, 0.000, 0.000], [-1.405, 2.433, 0.000], [0.000, 0.000, 7.673]],
  "species": ["K", "Ni", "Ru"],
  "frac_coords": [[0.000, 0.000, 0.000], [0.667, 0.333, 0.369], [0.333, 0.667, 0.618]]
}